# 1
Density functional theory data (PBE) for an optimized crystal structure of SrOsPt2.

Structure (POSCAR):
```
SrOsPt2
1.0
-1.893 2.563 4.321
1.893 -2.563 4.321
1.893 2.563 -4.321
Sr Os Pt
1 1 2
direct
0.000 0.000 0.000
0.500 0.500 0.000
0.300 0.800 0.500
0.700 0.200 0.500
```

**Energy of formation**: 0.33 eV/atom
**E above lowest polymorph**: 0.294 eV per atom
**Symmetry**: Immm
**Total energy**: -5.92 eV/atom



# 2
Density functional theory data (PBE) for an optimized crystal structure of Er2ZnPt3.

Structure (POSCAR):
```
Er2ZnPt3
1.0
0.000 4.511 7.618
3.469 0.000 7.618
3.469 4.511 0.000
Er Zn Pt
4 2 6
direct
0.248 0.752 0.752
0.250 0.250 0.250
0.750 0.750 0.750
0.752 0.248 0.248
0.333 0.333 0.667
0.667 0.667 0.333
0.170 0.170 0.830
0.173 0.652 0.348
0.348 0.827 0.173
0.652 0.173 0.827
0.827 0.348 0.652
0.830 0.830 0.170
```

**Energy of formation**: -0.98 eV/atom
**E above lowest polymorph**: 0.097 eV per atom
**Symmetry**: Fmmm
**Total energy**: -5.73 eV/atom



# 3
Density functional theory data (PBE) for an optimized crystal structure of CdFe2Ni.

Structure (POSCAR):
```
CdFe2Ni
1.0
1.902 -1.906 0.000
1.902 1.906 0.000
0.000 0.000 7.578
Cd Fe Ni
1 2 1
direct
0.000 0.000 0.000
0.500 0.500 0.285
0.500 0.500 0.715
0.000 0.000 0.500
```

**Energy of formation**: 0.20 eV/atom
**Symmetry**: Cmmm
**Total energy**: -5.71 eV/atom



# 4
Density functional theory data (PBE) for an optimized crystal structure of CsRbN.

Structure (POSCAR):
```
CsRbN
1.0
0.000 3.679 3.679
3.679 0.000 3.679
3.679 3.679 0.000
Cs Rb N
1 1 1
direct
0.000 0.000 0.000
0.500 0.500 0.500
0.750 0.750 0.750
```

**Symmetry**: F-43m
**Total energy**: -2.64 eV/atom



# 5
Density functional theory data (PBE) for an optimized crystal structure of PuCo2Sn.

Structure (POSCAR):
```
PuCo2Sn
1.0
5.113 0.000 0.000
0.000 4.038 0.000
0.000 0.000 6.912
Pu Co Sn
2 4 2
direct
0.250 0.000 0.236
0.750 0.000 0.764
0.000 0.500 0.500
0.250 0.000 0.614
0.500 0.500 0.500
0.750 0.000 0.386
0.250 0.500 0.852
0.750 0.500 0.148
```

**Energy of formation**: -0.21 eV/atom
**Symmetry**: Pmma
**Total energy**: -8.34 eV/atom



# 6
Density functional theory data (PBE) for an optimized crystal structure of TbMgZnNi.

Structure (POSCAR):
```
TbMgZnNi
1.0
0.000 3.336 3.336
3.336 0.000 3.336
3.336 3.336 0.000
Tb Mg Zn Ni
1 1 1 1
direct
0.000 0.000 0.000
0.500 0.500 0.500
0.750 0.750 0.750
0.250 0.250 0.250
```

**Energy of formation**: -0.26 eV/atom
**Symmetry**: F-43m
**Total energy**: -3.58 eV/atom



# 7
Density functional theory data (PBE) for an optimized crystal structure of Zr2ScAl.

Structure (POSCAR):
```
Zr2ScAl
1.0
0.000 3.495 3.495
3.495 0.000 3.495
3.495 3.495 0.000
Zr Sc Al
2 1 1
direct
0.000 0.000 0.000
0.250 0.250 0.250
0.500 0.500 0.500
0.750 0.750 0.750
```

**Energy of formation**: -0.10 eV/atom
**Symmetry**: F-43m
**Total energy**: -6.89 eV/atom



# 8
Density functional theory data (PBE) for an optimized crystal structure of Pm8NdBi6.

Structure (POSCAR):
```
Pm8NdBi6
1.0
4.170 2.407 8.737
-4.170 2.407 8.737
0.000 -4.815 8.737
Pm Nd Bi
8 1 6
direct
0.046 0.710 0.377
0.167 0.167 0.167
0.290 0.623 0.954
0.377 0.046 0.710
0.623 0.954 0.290
0.710 0.377 0.046
0.833 0.833 0.833
0.954 0.290 0.623
0.500 0.500 0.500
0.098 0.433 0.768
0.232 0.902 0.567
0.433 0.768 0.098
0.567 0.232 0.902
0.768 0.098 0.433
0.902 0.567 0.232
```

**Energy of formation**: -0.60 eV/atom
**Symmetry**: R-3
**Total energy**: -5.00 eV/atom